No. 1
# PuTh2FeN4 | the Alexandria database | PBE | optimized geometry
data_PuTh2FeN4
_chemical_formula_sum 'Pu4 Th8 Fe4 N16'
_cell_length_a 3.540
_cell_length_b 11.603
_cell_length_c 11.968
_cell_angle_alpha 90.00
_cell_angle_beta 90.00
_cell_angle_gamma 90.00
_space_group_name_H-M_alt 'C m c m'
_space_group_IT_number 63
_space_group_name_Hall '-C 2c 2'
loop_
_atom_site_label
_atom_site_fract_x
_atom_site_fract_y
_atom_site_fract_z
Pu1 0.000 0.102 0.250
Th1 0.000 0.368 0.059
Fe1 0.000 0.160 0.750
N1 0.000 0.000 0.000
N2 0.000 0.272 0.626
N3 0.000 0.455 0.250
# Theoretical density, g/cm³: 11.08
# Crystal system: orthorhombic
# Formation energy without anion corrections, eV per atom: -1.060

No. 2
# Pu2UFeN4 | the Alexandria database | PBE | optimized geometry
data_Pu2UFeN4
_chemical_formula_sum 'Pu8 U4 Fe4 N16'
_cell_length_a 3.319
_cell_length_b 11.218
_cell_length_c 11.459
_cell_angle_alpha 90.00
_cell_angle_beta 90.00
_cell_angle_gamma 90.00
_space_group_name_H-M_alt 'C m c m'
_space_group_IT_number 63
_space_group_name_Hall '-C 2c 2'
loop_
_atom_site_label
_atom_site_fract_x
_atom_site_fract_y
_atom_site_fract_z
Pu1 0.000 0.132 0.057
U1 0.000 0.390 0.250
Fe1 0.000 0.347 0.750
N1 0.000 0.039 0.250
N2 0.000 0.220 0.627
N3 0.000 0.500 0.000
# Theoretical density, g/cm³: 13.05
# Crystal system: orthorhombic
# Formation energy without anion corrections, eV per atom: -1.012

What did the first record say?
# PuTh2FeN4 | the Alexandria database | PBE | optimized geometry
data_PuTh2FeN4
_chemical_formula_sum 'Pu4 Th8 Fe4 N16'
_cell_length_a 3.540
_cell_length_b 11.603
_cell_length_c 11.968
_cell_angle_alpha 90.00
_cell_angle_beta 90.00
_cell_angle_gamma 90.00
_space_group_name_H-M_alt 'C m c m'
_space_group_IT_number 63
_space_group_name_Hall '-C 2c 2'
loop_
_atom_site_label
_atom_site_fract_x
_atom_site_fract_y
_atom_site_fract_z
Pu1 0.000 0.102 0.250
Th1 0.000 0.368 0.059
Fe1 0.000 0.160 0.750
N1 0.000 0.000 0.000
N2 0.000 0.272 0.626
N3 0.000 0.455 0.250
# Theoretical density, g/cm³: 11.08
# Crystal system: orthorhombic
# Formation energy without anion corrections, eV per atom: -1.060

> Among the records above, which one has the lowest theoretical density?

PuTh2FeN4

> What is the formation energy without anion corrections in the first record?

-1.060 eV per atom

> Which formula does entry 1 have?

PuTh2FeN4